First-principles (PBE with a Hubbard U) data for a relaxed structure of CeCrAs2O8, as listed in the Alexandria database.

a = 5.423 Å, b = 5.423 Å, c = 6.772 Å
α = 90.00°, β = 90.00°, γ = 120.00°
Atoms (fractional coordinates):
Ce  0.000  0.000  0.000
Cr  0.000  0.000  0.500
As  0.333  0.667  0.230
As  0.667  0.333  0.770
O  0.158  0.316  0.302
O  0.158  0.842  0.302
O  0.316  0.158  0.698
O  0.333  0.667  0.980
O  0.667  0.333  0.020
O  0.684  0.842  0.302
O  0.842  0.158  0.698
O  0.842  0.684  0.698

Properties
- SG = No. 164
- total energy (eV/atom) = -6.997
- crystal system = trigonal